No. 1
The following is a DFT calculation (GGA-PBE) of an optimized crystal structure of Rb2MoI6Cl.

Calculated values
Magnetization ... 2.3 μB/cell
Electronic total energy ... -2.98 eV per atom
E_form (uncorrected) ... -0.586 eV per atom

Cell: 8.404 8.404 12.534 Å, 90.00 90.00 90.00°
Space group I4/mmm (No. 139)
Asymmetric unit:
Rb (0.000, 0.500, 0.250)
Mo (0.000, 0.000, 0.000)
I (0.000, 0.000, 0.221)
I (0.234, 0.234, 0.000)
Cl (0.000, 0.000, 0.500)



No. 2
The following is a DFT calculation (GGA-PBE) of an optimized crystal structure of Rb2MoI4Cl2.

Calculated values
Magnetization ... 4.0 μB/cell
Electronic total energy ... -3.46 eV per atom
E_form (uncorrected) ... -0.944 eV per atom

Cell: 12.924 8.221 6.861 Å, 90.00 103.25 90.00°
Space group C2/m (No. 12)
Asymmetric unit:
Rb (0.170, 0.000, 0.272)
Mo (0.000, 0.500, 0.000)
I (0.089, 0.260, 0.801)
Cl (0.157, 0.500, 0.265)



No. 3
The following is a DFT calculation (GGA-PBE) of an optimized crystal structure of MoS2ICl.

Calculated values
Energy above the most stable polymorph in this dataset ... 1243 meV per atom
Magnetization ... 4.4 μB/cell
Electronic total energy ... -3.23 eV per atom
E_form (uncorrected) ... 1.263 eV per atom

Cell: 5.145 5.145 5.321 Å, 90.00 90.00 90.00°
Space group P4/mmm (No. 123)
Asymmetric unit:
Mo (0.000, 0.000, 0.000)
S (0.000, 0.500, 0.500)
I (0.500, 0.500, 0.500)
Cl (0.500, 0.500, 0.000)



No. 4
The following is a DFT calculation (GGA-PBE) of an optimized crystal structure of MoS2ICl.

Calculated values
Energy above the most stable polymorph in this dataset ... 0 meV per atom
Magnetization ... 0.0 μB/cell
Electronic total energy ... -4.48 eV per atom
E_form (uncorrected) ... 0.020 eV per atom

Cell: 4.759 4.759 4.847 Å, 90.00 90.00 90.00°
Space group P4/mmm (No. 123)
Asymmetric unit:
Mo (0.000, 0.000, 0.000)
S (0.000, 0.500, 0.000)
I (0.500, 0.500, 0.500)
Cl (0.000, 0.000, 0.500)



No. 5
The following is a DFT calculation (GGA-PBE) of an optimized crystal structure of Sb2MoICl.

Calculated values
Energy above the most stable polymorph in this dataset ... 0 meV per atom
Magnetization ... 0.0 μB/cell
Electronic total energy ... -4.21 eV per atom
E_form (uncorrected) ... 0.283 eV per atom

Cell: 5.233 5.233 5.473 Å, 90.00 90.00 90.00°
Space group P4/mmm (No. 123)
Asymmetric unit:
Sb (0.000, 0.500, 0.000)
Mo (0.000, 0.000, 0.000)
I (0.000, 0.000, 0.500)
Cl (0.500, 0.500, 0.500)



No. 6
The following is a DFT calculation (GGA-PBE) of an optimized crystal structure of Sb2MoICl.

Calculated values
Energy above the most stable polymorph in this dataset ... 999 meV per atom
Magnetization ... 3.2 μB/cell
Electronic total energy ... -3.21 eV per atom
E_form (uncorrected) ... 1.282 eV per atom

Cell: 5.117 5.117 6.471 Å, 90.00 90.00 90.00°
Space group P4/mmm (No. 123)
Asymmetric unit:
Sb (0.000, 0.500, 0.000)
Mo (0.000, 0.000, 0.500)
I (0.500, 0.500, 0.500)
Cl (0.500, 0.500, 0.000)



No. 7
The following is a DFT calculation (GGA-PBE) of an optimized crystal structure of ScMoICl2.

Calculated values
Magnetization ... 6.0 μB/cell
Electronic total energy ... -3.52 eV per atom
E_form (uncorrected) ... 0.961 eV per atom

Cell: 6.406 6.406 5.148 Å, 90.00 90.00 90.00°
Space group P4/mmm (No. 123)
Asymmetric unit:
Sc (0.000, 0.000, 0.000)
Mo (0.500, 0.500, 0.000)
I (0.000, 0.000, 0.500)
Cl (0.000, 0.500, 0.500)



No. 8
The following is a DFT calculation (GGA-PBE) of an optimized crystal structure of SnMo2ICl.

Calculated values
Magnetization ... 3.6 μB/cell
Electronic total energy ... -4.55 eV per atom
E_form (uncorrected) ... 1.265 eV per atom

Cell: 4.531 4.531 6.526 Å, 90.00 90.00 90.00°
Space group P4/mmm (No. 123)
Asymmetric unit:
Sn (0.000, 0.000, 0.000)
Mo (0.000, 0.500, 0.500)
I (0.500, 0.500, 0.000)
Cl (0.500, 0.500, 0.500)